An optimized crystal structure of NbI. Source: Alexandria via LeMat-Bulk, functional PBE-GGA.

Cell and atoms, written as POSCAR:
```
NbI
1.0
3.4269 0.0000 0.0000
-1.7135 2.9678 0.0000
0.0000 0.0000 14.2274
Nb I
3 3
direct
0.0000 0.0000 0.0000
0.3333 0.6667 0.6667
0.6667 0.3333 0.3333
0.0000 0.0000 0.8022
0.3333 0.6667 0.4688
0.6667 0.3333 0.1355
```

Output
formation energy from raw total energies = 501 meV/atom
uncorrected energy = -5.309 eV per atom
calculated density = 7.6 g/cm3
magnetic moment = 0.00 μB/f.u.
space-group type = R3m